No. 1
Here is a geometry-optimized NdBeAu4 structure from Alexandria. Energies are from PBE.

Cell lengths 7.3990, 7.3990, 5.2238 Å; angles 93.65, 93.65, 57.77 degrees
Fractional positions:
Nd1 0.2167 0.7833 0.7500
Nd2 0.7833 0.2167 0.2500
Be1 0.0000 0.5000 0.0000
Be2 0.5000 0.0000 0.5000
Au1 0.1349 0.2509 0.6093
Au2 0.2509 0.1349 0.1093
Au3 0.2845 0.5025 0.2222
Au4 0.4975 0.7155 0.2778
Au5 0.5025 0.2845 0.7222
Au6 0.7155 0.4975 0.7778
Au7 0.7491 0.8651 0.8907
Au8 0.8651 0.7491 0.3907

## Properties
energy relative to the lowest polymorph listed for this composition = 0.376 eV/f.u.
space-group type = No. 15

No. 2
Here is a geometry-optimized NdBe2Au5 structure from Alexandria. Energies are from PBE.

Cell lengths 6.3801, 6.3801, 6.3801 Å; angles 142.01, 113.51, 79.22 degrees
Fractional positions:
Nd1 0.0000 0.0000 0.0000
Be1 0.2584 0.7584 0.5000
Be2 0.7416 0.2416 0.5000
Au1 0.1412 0.3492 0.7920
Au2 0.4428 0.6508 0.7920
Au3 0.5000 0.0000 0.5000
Au4 0.5572 0.3492 0.2080
Au5 0.8588 0.6508 0.2080

## Properties
space-group type = No. 71

No. 3
Here is a geometry-optimized NdBe6Au12 structure from Alexandria. Energies are from PBE.

Cell lengths 7.4298, 7.4298, 7.4298 Å; angles 109.47, 109.47, 109.47 degrees
Fractional positions:
Nd1 0.0000 0.0000 0.0000
Be1 0.1273 0.6273 0.5000
Be2 0.3727 0.5000 0.8727
Be3 0.5000 0.1273 0.6273
Be4 0.5000 0.8727 0.3727
Be5 0.6273 0.5000 0.1273
Be6 0.8727 0.3727 0.5000
Au1 0.1408 0.8267 0.3141
Au2 0.1733 0.3141 0.4874
Au3 0.1733 0.6859 0.8592
Au4 0.3141 0.1408 0.8267
Au5 0.3141 0.4874 0.1733
Au6 0.4874 0.1733 0.3141
Au7 0.5126 0.8267 0.6859
Au8 0.6859 0.5126 0.8267
Au9 0.6859 0.8592 0.1733
Au10 0.8267 0.3141 0.1408
Au11 0.8267 0.6859 0.5126
Au12 0.8592 0.1733 0.6859

## Properties
space-group type = No. 204

No. 4
Here is a geometry-optimized NdBeAu structure from Alexandria. Energies are from PBE.

Cell lengths 4.2667, 4.2667, 3.9871 Å; angles 90.00, 90.00, 120.00 degrees
Fractional positions:
Nd1 0.0000 0.0000 0.0000
Be1 0.3333 0.6667 0.5000
Au1 0.6667 0.3333 0.5000

## Properties
energy relative to the lowest polymorph listed for this composition = 0.000 eV/f.u.
space-group type = No. 187

no.,formation enthalpy at 0 K (meV per atom)
1,-401
2,-359
3,-67
4,-435